Record 1
AlReHg2: optimized geometry, PBE.

Lattice parameters (Å, degrees): 3.9255 3.9255 20.5358 90.00 90.00 90.00
With the nearest neighbours (Å) after each atom.
Space group I-42d (No. 122)
Asymmetric unit:
Al 0.0000 0.0000 0.0000 (multiplicity 4)  4 Re 2.78, 4 Hg 2.93
Re 0.0000 0.0000 0.5000 (multiplicity 4)  4 Al 2.78, 4 Hg 2.91
Hg 0.2425 0.2500 0.6250 (multiplicity 8)  4 Hg 2.73-2.82, 2 Re 2.91, 2 Al 2.93

Summary:
Energy of formation (eV/atom): 0.815

Record 2
CsK3Na2: optimized geometry, PBE.

Lattice parameters (Å, degrees): 21.3598 7.1430 11.3719 90.00 114.82 90.00
With the nearest neighbours (Å) after each atom.
Space group C2/m (No. 12)
Asymmetric unit:
Cs 0.1264 0.0000 0.1898 (multiplicity 4)  5 Na 4.29-4.54, 3 K 4.70-4.71
K 0.0683 0.0000 0.7158 (multiplicity 4)  3 Na 4.36-4.40, 6 K 4.40-4.79, 1 Cs 4.71
K 0.1193 0.5000 0.5467 (multiplicity 4)  4 Na 3.99-4.30, 2 K 4.40
K 0.1917 0.5000 0.9970 (multiplicity 4)  2 Na 3.90-4.11, 2 K 4.34
Na 0.0097 0.5000 0.1638 (multiplicity 4)  1 Na 3.57, 2 K 3.90-3.99
Na 0.2413 0.0000 0.6077 (multiplicity 4)  5 K 4.04-4.36, 1 Cs 4.34, 2 Na 4.43

Summary:
Relative energy among the computed polymorphs (eV/atom): 0.0140
Energy of formation (eV/atom): 0.029

Record 3
GaAg2Au3: optimized geometry, PBE.

Lattice parameters (Å, degrees): 4.3209 7.5745 6.8336 90.00 107.52 90.00
With the nearest neighbours (Å) after each atom.
Space group P2/m (No. 10)
Asymmetric unit:
Ga 0.1579 0.0000 0.3101 (multiplicity 2)  8 Au 2.78-2.84, 2 Ag 2.93-2.99
Ag 0.1712 0.5000 0.3379 (multiplicity 2)  8 Au 2.90-2.98, 4 Ag 3.01-3.12
Ag 0.5000 0.0000 0.0000 (multiplicity 1)  8 Au 2.84-2.88, 4 Ga 2.93-2.99
Ag 0.5000 0.5000 0.0000 (multiplicity 1)  8 Au 2.87-3.04, 4 Ag 3.05-3.12
Au 0.0000 0.2511 0.0000 (multiplicity 2)  2 Ga 2.78, 6 Ag 2.87-2.90, 2 Au 3.09
Au 0.3253 0.2295 0.6550 (multiplicity 4)  3 Ga 2.78-2.84, 5 Ag 2.84-3.04, 3 Au 2.95-3.09

Summary:
Relative energy among the computed polymorphs (eV/atom): 0.0171
Energy of formation (eV/atom): -0.079

Record 4
NiAsRu2: optimized geometry, PBE.

Lattice parameters (Å, degrees): 2.8486 2.8486 23.7738 90.00 90.00 120.00
With the nearest neighbours (Å) after each atom.
Space group R-3m (No. 166, hexagonal axes)
Asymmetric unit:
Ni 0.0000 0.0000 0.0000 (multiplicity 3)  6 Ru 2.63, 6 Ni 2.85
As 0.0000 0.0000 0.5000 (multiplicity 3)  6 Ru 2.52
Ru 0.0000 0.0000 0.2471 (multiplicity 6)  3 As 2.52, 3 Ni 2.63

Summary:
Energy of formation (eV/atom): 0.233

Record 5
CaInCl: optimized geometry, PBE.

Lattice parameters (Å, degrees): 4.8160 4.8160 4.5197 90.00 90.00 120.00
With the nearest neighbours (Å) after each atom.
Space group P-6m2 (No. 187)
Asymmetric unit:
Ca 0.0000 0.0000 0.0000 (multiplicity 1)  3 Cl 2.78
In 0.3333 0.6667 0.5000 (multiplicity 1)  6 Ca 3.58, 6 Cl 3.58
Cl 0.6667 0.3333 0.0000 (multiplicity 1)  3 Ca 2.78

Summary:
Relative energy among the computed polymorphs (eV/atom): 0.1808
Formation energy from raw total energies (eV/atom): -0.820

Record 6
Rb3Cu5Cl12: optimized geometry, PBE.

Lattice parameters (Å, degrees): 16.0274 16.0274 16.0274 90.00 90.00 90.00
With the nearest neighbours (Å) after each atom.
Space group Ia-3d (No. 230)
Asymmetric unit:
Rb 0.0000 0.2500 0.1250 (multiplicity 24)  8 Cl 3.21-3.39
Cu 0.0000 0.0000 0.0000 (multiplicity 16)  6 Cl 2.48
Cu 0.0000 0.2500 0.3750 (multiplicity 24)  4 Cl 2.30
Cl 0.0388 0.0430 0.6433 (multiplicity 96)  2 Cu 2.30-2.48

Summary:
Formation energy from raw total energies (eV/atom): -0.915

Record 7
Tc2NiCl: optimized geometry, PBE.

Lattice parameters (Å, degrees): 4.3646 4.3646 2.8091 90.00 90.00 90.00
With the nearest neighbours (Å) after each atom.
Space group P4/mmm (No. 123)
Asymmetric unit:
Tc 0.0000 0.5000 0.0000 (multiplicity 2)  4 Cl 2.60, 4 Ni 2.60, 2 Tc 2.81
Ni 0.0000 0.0000 0.5000 (multiplicity 1)  8 Tc 2.60, 2 Ni 2.81
Cl 0.5000 0.5000 0.5000 (multiplicity 1)  8 Tc 2.60, 2 Cl 2.81

Summary:
Relative energy among the computed polymorphs (eV/atom): 0.4609
Formation energy from raw total energies (eV/atom): 0.705